This record from the Alexandria database describes a relaxed Sr2Mn3O8 crystal. The functional is GGA+U.

Unit cell a=6.584 b=6.584 c=5.115 alpha=107.24 beta=107.24 gamma=54.60
Fractional coordinates of all 13 atoms:
Sr 0.222 0.222 0.169
Sr 0.778 0.778 0.831
Mn 0.244 0.756 0.500
Mn 0.500 0.500 0.000
Mn 0.756 0.244 0.500
O 0.100 0.100 0.471
O 0.187 0.625 0.114
O 0.375 0.813 0.886
O 0.408 0.408 0.601
O 0.592 0.592 0.399
O 0.625 0.187 0.114
O 0.813 0.375 0.886
O 0.900 0.900 0.529

* electronic total energy: -90.5 eV for the cell shown
* space group: C2/m